Material: Pm7Ge3Pb
Method: DFT, PBE
State: optimized geometry

Output
E, eV/f.u.: -56.318
ΔH_f (0 K), eV per formula unit: -5.50
V, Å³ per cell: 664.83

abc: 8.9117 10.8552 7.1348
angles: 90.00 105.58 90.00
Last column: nearest neighbours and their distance in Å.
Space group C2/m (No. 12)
Symmetry-distinct sites (fractional):
Pm: 0.0000 0.0000 0.0000  2 Ge 2.94
Pm: 0.1588 0.5000 0.1893  3 Ge 2.93-3.00, 1 Pb 3.25
Pm: 0.1800 0.2922 0.7146  3 Ge 2.92-3.10
Ge: 0.0000 0.2708 0.0000  7 Pm 2.92-3.10
Ge: 0.0000 0.5000 0.5000  6 Pm 2.93-2.95
Pb: 0.0000 0.0000 0.5000  4 Pm 3.25-3.57

Material: Pm5Ge2Pb2
Method: DFT, PBE
State: optimized geometry

Output
E, eV/f.u.: -45.468
ΔH_f (0 K), eV per formula unit: -5.06
V, Å³ per cell: 1068.20
Energy relative to the lowest polymorph listed for this composition, meV/atom: 134

abc: 17.2915 9.4706 6.5229
angles: 90.00 90.00 90.00
Last column: nearest neighbours and their distance in Å.
Space group Ima2 (No. 46)
Symmetry-distinct sites (fractional):
Pm: 0.0673 0.2423 0.0000  2 Ge 3.09-3.12, 2 Pm 3.26, 2 Pb 3.40-3.45
Pm: 0.1491 0.6235 0.2547  2 Ge 2.83-2.96, 1 Pb 3.16
Pm: 0.2500 0.0649 0.2563  1 Ge 2.90, 2 Pb 3.17
Ge: 0.0000 0.0000 0.7389  6 Pm 2.83-3.12
Ge: 0.2500 0.1291 0.7602  3 Pm 2.90-2.96
Pb: 0.0814 0.5668 0.7622  1 Pb 3.09, 4 Pm 3.16-3.45